[1]
{
  "formula": "Y3HfRu4",
  "functional": "GGA-PBE",
  "state": "optimized geometry",
  "crystal_system": "tetragonal",
  "space_group": "P4/mmm (123)",
  "lattice_angstrom": [[3.349, 0.000, 0.000], [0.000, 3.349, 0.000], [0.000, 0.000, 13.580]],
  "species": ["Y", "Y", "Y", "Hf", "Ru", "Ru", "Ru", "Ru"],
  "frac_coords": [[0.000, 0.000, 0.000], [0.000, 0.000, 0.253], [0.000, 0.000, 0.747], [0.000, 0.000, 0.500], [0.500, 0.500, 0.128], [0.500, 0.500, 0.388], [0.500, 0.500, 0.612], [0.500, 0.500, 0.872]]
}

[2]
{
  "formula": "YHfRu2",
  "functional": "GGA-PBE",
  "state": "optimized geometry",
  "crystal_system": "tetragonal",
  "space_group": "I-42d (122)",
  "lattice_angstrom": [[-3.595, 3.595, 3.082], [3.595, -3.595, 3.082], [3.595, 3.595, -3.082]],
  "species": ["Y", "Y", "Hf", "Hf", "Ru", "Ru", "Ru", "Ru"],
  "frac_coords": [[0.000, 0.000, 0.000], [0.750, 0.250, 0.500], [0.250, 0.750, 0.500], [0.500, 0.500, 0.000], [0.147, 0.625, 0.022], [0.375, 0.397, 0.522], [0.603, 0.125, 0.978], [0.875, 0.853, 0.478]]
}

Values of DOS(E_F), in order: 5.560; 10.830, all in states/eV/cell.
Values of raw total energy, in order: -8.726; -8.641, all in eV/atom.
Values of formation energy from the elements, in order: -0.42; 0.10, all in eV/atom.